Entry from Alexandria via LeMat-Bulk: crystalline B2WF at its relaxed geometry (GGA+U).

VASP energy: -4.64 eV per atom
SG: No. 122
Size of the total moment: 0.00 μB/cell
V: 11.0 A^3/atom
Theoretical density: 8.449 g cm⁻³

Lattice parameters (Å, degrees): 5.329 5.329 4.884 56.94 56.94 90.00
Positions (direct):
B: 0.576 0.125 0.250
B: 0.174 0.625 0.250
B: 0.375 0.424 0.750
B: 0.875 0.826 0.750
W: 0.000 0.000 0.000
W: 0.750 0.250 0.500
F: 0.500 0.500 0.000
F: 0.250 0.750 0.500